Material: MgBRh
Method: DFT, PBE
State: relaxed

a b c (Å): 3.2717 5.4203 8.9104
angles (deg): 90.00 90.00 90.00
Fractional coordinates of all 12 atoms:
Rh 0.2500 0.5008 0.7494
Rh 0.7500 0.9992 0.2494
Rh 0.7500 0.4992 0.2506
Rh 0.2500 0.0008 0.7506
B 0.7500 0.2611 0.8060
B 0.7500 0.7611 0.6940
B 0.2500 0.7389 0.1940
B 0.2500 0.2389 0.3060
Mg 0.7500 0.2489 0.5315
Mg 0.7500 0.7489 0.9685
Mg 0.2500 0.7511 0.4685
Mg 0.2500 0.2511 0.0315

Values from the calculation:
Energy of formation (eV per atom): -0.303
Total magnetization (μB per formula unit): 0.00
V (Å³/atom): 13.2